1.
CaGa3Br | PBE-GGA | relaxed

Output
formation energy without anion corrections: 0.17 eV per atom

Cell: 5.4622 5.4622 5.4622 Å, 90.00 90.00 90.00°
Last column: nearest neighbours and their distance in Å.
Space group Pm-3m (No. 221)
Inequivalent atoms, fractional coordinates:
Ca 0.0000 0.0000 0.0000  12 Ga 3.86
Ga 0.0000 0.5000 0.5000  2 Br 2.73
Br 0.5000 0.5000 0.5000  6 Ga 2.73

=====

2.
CsNa2W | PBE-GGA | relaxed

Output
final energy: -2.60 eV per atom

Cell: 8.0861 8.0861 8.0861 Å, 90.00 90.00 90.00°
Last column: nearest neighbours and their distance in Å.
Space group Fm-3m (No. 225)
Inequivalent atoms, fractional coordinates:
Cs 0.0000 0.0000 0.0000  8 Na 3.50
Na 0.2500 0.2500 0.2500  4 W 3.50, 4 Cs 3.50
W 0.0000 0.0000 0.5000  8 Na 3.50

=====

3.
Lu2BeTl | PBE-GGA | relaxed

Output
final energy: -3.88 eV per atom

Cell: 3.4787 3.4787 7.2855 Å, 90.00 90.00 90.00°
Last column: nearest neighbours and their distance in Å.
Space group P4/mmm (No. 123)
Inequivalent atoms, fractional coordinates:
Lu 0.0000 0.0000 0.2167  4 Be 2.92, 1 Lu 3.16, 4 Tl 3.21
Be 0.5000 0.5000 0.0000  8 Lu 2.92
Tl 0.5000 0.5000 0.5000  8 Lu 3.21, 4 Tl 3.48

=====

4.
LaPrIr | PBE-GGA | relaxed

Output
final energy: -6.75 eV per atom

Cell: 6.4060 4.3366 7.5059 Å, 90.00 112.81 90.00°
Last column: nearest neighbours and their distance in Å.
Space group P2_1/m (No. 11)
Inequivalent atoms, fractional coordinates:
La 0.2429 0.2500 0.4985  3 Ir 2.87
Pr 0.2430 0.7500 0.9962  3 Ir 2.90
Ir 0.0035 0.7500 0.2542  3 La 2.87, 3 Pr 2.90

=====

| no. | M_tot (μB/f.u.) | V (Å³/cell) |
| --- | --- | --- |
| 1 | 0.00 | 162.97 |
| 2 | 4.70 | 528.71 |
| 3 | 0.00 | 88.16 |
| 4 | 0.00 | 192.21 |